! Y3Al12Os4 GGA-PBEsol optimized geometry; values from VASP
&SYSTEM
  ibrav = 0, nat = 38, ntyp = 3
/
ATOMIC_SPECIES
Al 26.98 Al.upf
Y 88.91 Y.upf
Os 190.23 Os.upf
ATOMIC_POSITIONS crystal
Al 0.327 0.163 0.425
Al 0.122 0.561 0.750
Al 0.837 0.673 0.425
Al 0.837 0.673 0.075
Al 0.673 0.837 0.925
Al 0.333 0.667 0.482
Al 0.561 0.439 0.250
Al 0.327 0.163 0.075
Al 0.163 0.837 0.925
Al 0.163 0.837 0.575
Al 0.000 0.000 0.750
Al 0.000 0.000 0.250
Al 0.837 0.163 0.425
Al 0.439 0.561 0.750
Al 0.837 0.163 0.075
Al 0.163 0.327 0.575
Al 0.561 0.122 0.250
Al 0.439 0.878 0.750
Al 0.878 0.439 0.250
Al 0.673 0.837 0.575
Al 0.333 0.667 0.018
Al 0.667 0.333 0.518
Al 0.667 0.333 0.982
Al 0.163 0.327 0.925
Y 0.386 0.193 0.750
Y 0.614 0.807 0.250
Y 0.807 0.193 0.750
Y 0.807 0.614 0.750
Y 0.193 0.386 0.250
Y 0.193 0.807 0.250
Os 0.500 0.000 0.000
Os 0.000 0.000 0.500
Os 0.000 0.000 0.000
Os 0.500 0.500 0.500
Os 0.500 0.500 0.000
Os 0.000 0.500 0.500
Os 0.500 0.000 0.500
Os 0.000 0.500 0.000
CELL_PARAMETERS angstrom
-1.732 -0.357 8.568
0.514 -7.380 -4.670
9.316 -0.529 1.862
! E_form (eV/atom): -0.597
! M_tot (μB per atom): 0.00